(one)
{
  "formula": "NaMgReCl2",
  "functional": "PBE",
  "state": "optimized geometry",
  "magnetic_moment_mub_per_fu": 4.6,
  "lattice": [[4.887, 0.000, 0.000], [0.000, 4.887, 0.000], [0.000, 0.000, 5.882]],
  "species": ["Na", "Mg", "Re", "Cl", "Cl"],
  "frac_coords": [[0.000, 0.000, 0.000], [0.000, 0.000, 0.500], [0.500, 0.500, 0.500], [0.000, 0.500, 0.000], [0.500, 0.000, 0.000]]
}


(two)
{
  "formula": "NaMgReCl2",
  "functional": "PBE",
  "state": "optimized geometry",
  "magnetic_moment_mub_per_fu": 4.0,
  "lattice": [[4.936, 0.000, 0.000], [0.000, 4.936, 0.000], [0.000, 0.000, 5.710]],
  "species": ["Na", "Mg", "Re", "Cl", "Cl"],
  "frac_coords": [[0.000, 0.000, 0.000], [0.500, 0.500, 0.500], [0.500, 0.500, 0.000], [0.000, 0.500, 0.500], [0.500, 0.000, 0.500]]
}


Q: Which of them is the most stable? A: (two).


(one)
{
  "formula": "NaMgSCl2",
  "functional": "PBE",
  "state": "optimized geometry",
  "magnetic_moment_mub_per_fu": 1.0,
  "lattice": [[4.879, 0.000, 0.000], [0.000, 4.879, 0.000], [0.000, 0.000, 5.273]],
  "species": ["Na", "Mg", "S", "Cl", "Cl"],
  "frac_coords": [[0.000, 0.000, 0.000], [0.500, 0.500, 0.500], [0.000, 0.000, 0.500], [0.000, 0.500, 0.000], [0.500, 0.000, 0.000]]
}


(two)
{
  "formula": "NaMgSCl2",
  "functional": "PBE",
  "state": "optimized geometry",
  "magnetic_moment_mub_per_fu": 1.0,
  "lattice": [[5.013, 0.000, 0.000], [0.000, 5.013, 0.000], [0.000, 0.000, 4.945]],
  "species": ["Na", "Mg", "S", "Cl", "Cl"],
  "frac_coords": [[0.000, 0.000, 0.000], [0.500, 0.500, 0.500], [0.500, 0.500, 0.000], [0.000, 0.500, 0.500], [0.500, 0.000, 0.500]]
}


Q: Which of them is the most stable? A: (two).


(one)
{
  "formula": "Mg3NbCl",
  "functional": "PBE",
  "state": "optimized geometry",
  "magnetic_moment_mub_per_fu": 4.0,
  "lattice": [[5.610, 0.000, 0.000], [0.000, 5.610, 0.000], [0.000, 0.000, 5.610]],
  "species": ["Mg", "Mg", "Mg", "Nb", "Cl"],
  "frac_coords": [[0.000, 0.000, 0.500], [0.000, 0.500, 0.000], [0.500, 0.000, 0.000], [0.000, 0.000, 0.000], [0.500, 0.500, 0.500]]
}


(two)
{
  "formula": "Mg3NbCl",
  "functional": "PBE",
  "state": "optimized geometry",
  "magnetic_moment_mub_per_fu": 2.0,
  "lattice": [[4.849, 0.000, 0.000], [0.000, 4.849, 0.000], [0.000, 0.000, 4.849]],
  "species": ["Mg", "Mg", "Mg", "Nb", "Cl"],
  "frac_coords": [[0.000, 0.000, 0.500], [0.000, 0.500, 0.000], [0.500, 0.000, 0.000], [0.500, 0.500, 0.500], [0.000, 0.000, 0.000]]
}


Q: Which of them is the most stable? A: (two).


(one)
{
  "formula": "MgNb2Te4Cl10O",
  "functional": "PBE",
  "state": "optimized geometry",
  "magnetic_moment_mub_per_fu": 1.7,
  "lattice": [[7.844, 0.000, 0.000], [-1.836, 8.637, 0.000], [-0.455, -0.704, 9.102]],
  "species": ["Mg", "Nb", "Nb", "Te", "Te", "Te", "Te", "Cl", "Cl", "Cl", "Cl", "Cl", "Cl", "Cl", "Cl", "Cl", "Cl", "O"],
  "frac_coords": [[0.000, 0.000, 0.000], [0.080, 0.296, 0.324], [0.107, 0.999, 0.607], [0.406, 0.539, 0.835], [0.497, 0.813, 0.008], [0.708, 0.453, 0.937], [0.782, 0.712, 0.134], [0.063, 0.469, 0.127], [0.124, 0.828, 0.838], [0.245, 0.138, 0.155], [0.266, 0.846, 0.480], [0.348, 0.443, 0.413], [0.366, 0.163, 0.729], [0.822, 0.108, 0.181], [0.835, 0.832, 0.547], [0.884, 0.404, 0.454], [0.941, 0.139, 0.793], [0.086, 0.139, 0.466]]
}


(two)
{
  "formula": "MgNb2Te4Cl10O",
  "functional": "PBE",
  "state": "optimized geometry",
  "magnetic_moment_mub_per_fu": 0.0,
  "lattice": [[6.608, 0.000, 0.000], [-2.973, 9.302, 0.000], [-0.107, -3.593, 9.879]],
  "species": ["Mg", "Nb", "Nb", "Te", "Te", "Te", "Te", "Cl", "Cl", "Cl", "Cl", "Cl", "Cl", "Cl", "Cl", "Cl", "Cl", "O"],
  "frac_coords": [[0.000, 0.000, 0.000], [0.151, 0.359, 0.063], [0.890, 0.131, 0.299], [0.192, 0.804, 0.499], [0.384, 0.784, 0.719], [0.761, 0.699, 0.587], [0.938, 0.688, 0.819], [0.120, 0.961, 0.209], [0.154, 0.290, 0.475], [0.308, 0.466, 0.905], [0.361, 0.176, 0.995], [0.404, 0.524, 0.245], [0.645, 0.935, 0.089], [0.656, 0.267, 0.349], [0.729, 0.959, 0.412], [0.891, 0.145, 0.871], [0.910, 0.492, 0.111], [0.017, 0.221, 0.166]]
}


Q: Which of them is the most stable? A: (one).


(one)
{
  "formula": "MgNbPCl2",
  "functional": "PBE",
  "state": "optimized geometry",
  "magnetic_moment_mub_per_fu": 2.0,
  "lattice": [[4.421, 0.000, 0.000], [0.000, 4.421, 0.000], [0.000, 0.000, 6.033]],
  "species": ["Mg", "Nb", "P", "Cl", "Cl"],
  "frac_coords": [[0.000, 0.000, 0.000], [0.500, 0.500, 0.500], [0.000, 0.000, 0.500], [0.000, 0.500, 0.000], [0.500, 0.000, 0.000]]
}


(two)
{
  "formula": "MgNbPCl2",
  "functional": "PBE",
  "state": "optimized geometry",
  "magnetic_moment_mub_per_fu": 0.3,
  "lattice": [[4.859, 0.000, 0.000], [0.000, 4.859, 0.000], [0.000, 0.000, 5.019]],
  "species": ["Mg", "Nb", "P", "Cl", "Cl"],
  "frac_coords": [[0.000, 0.000, 0.000], [0.500, 0.500, 0.500], [0.500, 0.500, 0.000], [0.000, 0.500, 0.500], [0.500, 0.000, 0.500]]
}


Q: Which of them is the most stable? A: (two).


(one)
{
  "formula": "Mg2NiCl",
  "functional": "PBE",
  "state": "optimized geometry",
  "magnetic_moment_mub_per_fu": 0.0,
  "lattice": [[0.000, 3.315, 3.315], [3.315, 0.000, 3.315], [3.315, 3.315, 0.000]],
  "species": ["Mg", "Mg", "Ni", "Cl"],
  "frac_coords": [[0.250, 0.250, 0.250], [0.750, 0.750, 0.750], [0.000, 0.000, 0.000], [0.500, 0.500, 0.500]]
}


(two)
{
  "formula": "Mg2NiCl",
  "functional": "PBE",
  "state": "optimized geometry",
  "magnetic_moment_mub_per_fu": 0.0,
  "lattice": [[4.799, 0.000, 0.000], [0.000, 4.799, 0.000], [0.000, 0.000, 3.015]],
  "species": ["Mg", "Mg", "Ni", "Cl"],
  "frac_coords": [[0.000, 0.500, 0.000], [0.500, 0.000, 0.000], [0.000, 0.000, 0.500], [0.500, 0.500, 0.500]]
}


Q: Which of them is the most stable? A: (two).


(one)
{
  "formula": "Mg2NiCl",
  "functional": "PBE",
  "state": "optimized geometry",
  "magnetic_moment_mub_per_fu": 0.0,
  "lattice": [[3.129, 0.000, 0.000], [0.000, 3.129, 0.000], [0.000, 0.000, 8.508]],
  "species": ["Mg", "Mg", "Ni", "Cl"],
  "frac_coords": [[0.000, 0.000, 0.000], [0.500, 0.500, 0.297], [0.000, 0.000, 0.455], [0.500, 0.500, 0.834]]
}


(two)
{
  "formula": "Mg2NiCl",
  "functional": "PBE",
  "state": "optimized geometry",
  "magnetic_moment_mub_per_fu": 0.0,
  "lattice": [[3.176, -3.595, 0.000], [3.176, 3.595, 0.000], [0.000, 0.000, 3.021]],
  "species": ["Mg", "Mg", "Ni", "Cl"],
  "frac_coords": [[0.000, 0.500, 0.000], [0.500, 0.000, 0.000], [0.000, 0.000, 0.500], [0.500, 0.500, 0.500]]
}


Q: Which of them is the most stable? A: (two).


(one)
{
  "formula": "Mg2NiCl",
  "functional": "PBE",
  "state": "optimized geometry",
  "magnetic_moment_mub_per_fu": 0.1,
  "lattice": [[7.424, -1.575, 0.000], [7.424, 1.575, 0.000], [-0.058, 0.000, 3.256]],
  "species": ["Mg", "Mg", "Ni", "Cl"],
  "frac_coords": [[0.000, 0.000, 0.000], [0.201, 0.201, 0.018], [0.605, 0.605, 0.508], [0.368, 0.368, 0.973]]
}


(two)
{
  "formula": "Mg2NiCl",
  "functional": "PBE",
  "state": "optimized geometry",
  "magnetic_moment_mub_per_fu": 0.2,
  "lattice": [[-1.591, 3.115, 4.092], [1.591, -3.115, 4.092], [1.591, 3.115, -4.092]],
  "species": ["Mg", "Mg", "Ni", "Cl"],
  "frac_coords": [[0.247, 0.247, 0.000], [0.753, 0.753, 0.000], [0.500, 0.000, 0.500], [0.000, 0.500, 0.500]]
}


(three)
{
  "formula": "Mg2NiCl",
  "functional": "PBE",
  "state": "optimized geometry",
  "magnetic_moment_mub_per_fu": 0.0,
  "lattice": [[-1.842, 1.842, 5.539], [1.842, -1.842, 5.539], [1.842, 1.842, -5.539]],
  "species": ["Mg", "Mg", "Ni", "Cl"],
  "frac_coords": [[0.000, 0.000, 0.000], [0.750, 0.250, 0.500], [0.250, 0.750, 0.500], [0.500, 0.500, 0.000]]
}


Q: Which of them is the most stable? A: (one).


(one)
{
  "formula": "Mg2NiCl",
  "functional": "PBE",
  "state": "optimized geometry",
  "magnetic_moment_mub_per_fu": 0.0,
  "lattice": [[1.641, 0.947, 7.687], [-1.641, 0.947, 7.687], [0.000, -1.895, 7.687]],
  "species": ["Mg", "Mg", "Ni", "Cl"],
  "frac_coords": [[0.243, 0.243, 0.243], [0.757, 0.757, 0.757], [0.500, 0.500, 0.500], [0.000, 0.000, 0.000]]
}


(two)
{
  "formula": "Mg2NiCl",
  "functional": "PBE",
  "state": "optimized geometry",
  "magnetic_moment_mub_per_fu": 0.0,
  "lattice": [[-1.581, 1.651, 8.076], [1.581, -1.651, 8.076], [1.581, 1.651, -8.076]],
  "species": ["Mg", "Mg", "Ni", "Cl"],
  "frac_coords": [[0.000, 0.000, 0.000], [0.697, 0.197, 0.500], [0.128, 0.628, 0.500], [0.413, 0.413, 0.000]]
}


Q: Which of them is the most stable? A: (one).


(one)
{
  "formula": "Mg2NiCl",
  "functional": "PBE",
  "state": "optimized geometry",
  "magnetic_moment_mub_per_fu": 0.0,
  "lattice": [[-3.404, 3.404, 3.481], [3.404, -3.404, 3.481], [3.404, 3.404, -3.481]],
  "species": ["Mg", "Mg", "Mg", "Mg", "Ni", "Ni", "Cl", "Cl"],
  "frac_coords": [[0.120, 0.625, 0.995], [0.375, 0.370, 0.495], [0.630, 0.125, 0.005], [0.875, 0.880, 0.505], [0.000, 0.000, 0.000], [0.750, 0.250, 0.500], [0.250, 0.750, 0.500], [0.500, 0.500, 0.000]]
}


(two)
{
  "formula": "Mg2NiCl",
  "functional": "PBE",
  "state": "optimized geometry",
  "magnetic_moment_mub_per_fu": 0.0,
  "lattice": [[0.000, 3.373, 3.373], [3.373, 0.000, 3.373], [3.373, 3.373, 0.000]],
  "species": ["Mg", "Mg", "Ni", "Cl"],
  "frac_coords": [[0.000, 0.000, 0.000], [0.250, 0.250, 0.250], [0.750, 0.750, 0.750], [0.500, 0.500, 0.500]]
}


Q: Which of them is the most stable? A: (one).


(one)
{
  "formula": "Mg2NiCl",
  "functional": "PBE",
  "state": "optimized geometry",
  "magnetic_moment_mub_per_fu": 0.0,
  "lattice": [[2.211, -2.222, 0.000], [2.211, 2.222, 0.000], [0.000, 0.000, 7.150]],
  "species": ["Mg", "Mg", "Ni", "Cl"],
  "frac_coords": [[0.000, 0.000, 0.210], [0.000, 0.000, 0.790], [0.500, 0.500, 0.000], [0.500, 0.500, 0.500]]
}


(two)
{
  "formula": "Mg2NiCl",
  "functional": "PBE",
  "state": "optimized geometry",
  "magnetic_moment_mub_per_fu": 0.0,
  "lattice": [[3.060, 0.000, 0.000], [0.000, 3.251, 0.000], [0.000, 0.000, 7.328]],
  "species": ["Mg", "Mg", "Ni", "Cl"],
  "frac_coords": [[0.000, 0.000, 0.209], [0.000, 0.000, 0.791], [0.500, 0.500, 0.000], [0.500, 0.000, 0.500]]
}


Q: Which of them is the most stable? A: (two).


(one)
{
  "formula": "MgNiCl2",
  "functional": "PBE",
  "state": "optimized geometry",
  "magnetic_moment_mub_per_fu": 0.0,
  "lattice": [[3.255, 0.000, 0.000], [0.000, 3.847, 0.000], [0.000, 0.000, 5.756]],
  "species": ["Mg", "Ni", "Cl", "Cl"],
  "frac_coords": [[0.000, 0.000, 0.000], [0.500, 0.000, 0.500], [0.000, 0.500, 0.500], [0.500, 0.500, 0.000]]
}


(two)
{
  "formula": "MgNiCl2",
  "functional": "PBE",
  "state": "optimized geometry",
  "magnetic_moment_mub_per_fu": 0.2,
  "lattice": [[-1.792, 1.792, 5.612], [1.792, -1.792, 5.612], [1.792, 1.792, -5.612]],
  "species": ["Mg", "Ni", "Cl", "Cl"],
  "frac_coords": [[0.000, 0.000, 0.000], [0.250, 0.750, 0.500], [0.500, 0.500, 0.000], [0.750, 0.250, 0.500]]
}


Q: Which of them is the most stable? A: (one).


(one)
{
  "formula": "MgNiCl2",
  "functional": "PBE",
  "state": "optimized geometry",
  "magnetic_moment_mub_per_fu": 0.4,
  "lattice": [[1.692, -3.334, 0.000], [1.692, 3.334, 0.000], [0.000, 0.000, 7.309]],
  "species": ["Mg", "Ni", "Cl", "Cl"],
  "frac_coords": [[0.000, 0.000, 0.000], [0.000, 0.000, 0.500], [0.500, 0.500, 0.279], [0.500, 0.500, 0.721]]
}


(two)
{
  "formula": "MgNiCl2",
  "functional": "PBE",
  "state": "optimized geometry",
  "magnetic_moment_mub_per_fu": 0.0,
  "lattice": [[-2.381, 2.381, 6.697], [2.381, -2.381, 6.697], [2.381, 2.381, -6.697]],
  "species": ["Mg", "Mg", "Ni", "Ni", "Cl", "Cl", "Cl", "Cl"],
  "frac_coords": [[0.000, 0.000, 0.000], [0.750, 0.250, 0.500], [0.250, 0.750, 0.500], [0.500, 0.500, 0.000], [0.147, 0.625, 0.022], [0.375, 0.397, 0.522], [0.603, 0.125, 0.978], [0.875, 0.853, 0.478]]
}


(three)
{
  "formula": "MgNiCl2",
  "functional": "PBE",
  "state": "optimized geometry",
  "magnetic_moment_mub_per_fu": 0.1,
  "lattice": [[-1.744, 3.011, 3.519], [1.744, -3.011, 3.519], [1.744, 3.011, -3.519]],
  "species": ["Mg", "Ni", "Cl", "Cl"],
  "frac_coords": [[0.000, 0.000, 0.000], [0.500, 0.500, 0.000], [0.268, 0.768, 0.500], [0.732, 0.232, 0.500]]
}


Q: Which of them is the most stable? A: (two).